No. 1
VASP calculation (PBE-GGA) on crystalline Cs2CdTeS4 at its relaxed geometry.

Cell lengths 14.4003, 12.7309, 8.1686 Å; angles 84.09, 61.57, 34.35 degrees
Last column: nearest neighbours and their distance in Å.
Positions (direct):
Cs  0.0535  0.0535  0.6965  8 S 3.76-3.99
Cs  0.3035  0.3035  0.9465  8 S 3.76-3.99
Cs  0.6965  0.6965  0.0535  8 S 3.76-3.99
Cs  0.9465  0.9465  0.3035  8 S 3.76-3.99
Cd  0.1250  0.1250  0.1250  4 S 2.58
Cd  0.8750  0.8750  0.8750  4 S 2.58
Te  0.3750  0.3750  0.3750  4 S 2.57
Te  0.6250  0.6250  0.6250  4 S 2.57
S  0.0274  0.3267  0.4261  1 Te 2.57, 1 Cd 2.58
S  0.2802  0.5739  0.6733  1 Te 2.57, 1 Cd 2.58
S  0.3267  0.0274  0.7198  1 Te 2.57, 1 Cd 2.58
S  0.4261  0.7198  0.0274  1 Te 2.57, 1 Cd 2.58
S  0.5739  0.2802  0.9726  1 Te 2.57, 1 Cd 2.58
S  0.6733  0.9726  0.2802  1 Te 2.57, 1 Cd 2.58
S  0.7198  0.4261  0.3267  1 Te 2.57, 1 Cd 2.58
S  0.9726  0.6733  0.5739  1 Te 2.57, 1 Cd 2.58

Volume ... 602.83 Å³ per cell
DFT total energy ... -3.35 eV/atom
Formation energy from raw total energies ... -0.563 eV/atom

***

No. 2
VASP calculation (PBE-GGA) on crystalline Cs2KPu3O12 at its relaxed geometry.

Cell lengths 7.7680, 7.7680, 7.7680 Å; angles 62.46, 62.46, 62.46 degrees
Last column: nearest neighbours and their distance in Å.
Positions (direct):
Cs  0.1099  0.1099  0.1099  6 O 3.14-3.41
Cs  0.8901  0.8901  0.8901  6 O 3.14-3.41
K  0.5000  0.5000  0.5000  6 O 2.87
Pu  0.0000  0.5000  0.5000  2 O 1.84
Pu  0.5000  0.0000  0.5000  2 O 1.84
Pu  0.5000  0.5000  0.0000  2 O 1.84
O  0.0627  0.6150  0.6150  1 Pu 1.84
O  0.2191  0.2191  0.5991  2 Pu 2.12
O  0.2191  0.5991  0.2191  2 Pu 2.12
O  0.3850  0.3850  0.9373  1 Pu 1.84
O  0.3850  0.9373  0.3850  1 Pu 1.84
O  0.4009  0.7809  0.7809  2 Pu 2.12
O  0.5991  0.2191  0.2191  2 Pu 2.12
O  0.6150  0.0627  0.6150  1 Pu 1.84
O  0.6150  0.6150  0.0627  1 Pu 1.84
O  0.7809  0.4009  0.7809  2 Pu 2.12
O  0.7809  0.7809  0.4009  2 Pu 2.12
O  0.9373  0.3850  0.3850  1 Pu 1.84

Volume ... 349.59 Å³ per cell
DFT total energy ... -8.14 eV/atom
Formation energy from raw total energies ... -2.295 eV/atom

***

What is the formation energy from raw total energies in the first record? -0.563 eV/atom

***

Look up the volume of the first one. 602.83 Å³ per cell

***

What is the formula in the first record? Cs2CdTeS4